Entry 1:
First-principles (PBE) data for crystalline Cs9Rb6P at its relaxed geometry, as listed in the Alexandria database.

E_form: -0.025 eV per atom
Calculated total energy: -1.21 eV per atom
Spin magnetization: 0.000 Bohr magnetons per cell
DOS at the Fermi energy: 0.944 states/eV/atom

Cell: 13.6937 13.6937 13.6937 Å, 126.91 126.91 78.39°
Positions (direct):
Cs 0.0000 0.0000 0.0000
Cs 0.0621 0.8581 0.5986
Cs 0.1419 0.7405 0.2041
Cs 0.2595 0.4635 0.4014
Cs 0.4635 0.0621 0.2041
Cs 0.5365 0.9379 0.7959
Cs 0.7405 0.5365 0.5986
Cs 0.8581 0.2595 0.7959
Cs 0.9379 0.1419 0.4014
Rb 0.2433 0.5839 0.8272
Rb 0.3449 0.3449 0.0000
Rb 0.4161 0.2433 0.6594
Rb 0.5839 0.7567 0.3406
Rb 0.6551 0.6551 0.0000
Rb 0.7567 0.4161 0.1728
P 0.5000 0.5000 0.0000

---

Entry 2:
First-principles (PBE) data for crystalline Cs6Rb9P at its relaxed geometry, as listed in the Alexandria database.

E_form: -0.044 eV per atom
Calculated total energy: -1.25 eV per atom
Spin magnetization: 0.000 Bohr magnetons per cell
DOS at the Fermi energy: 0.902 states/eV/atom

Cell: 13.7491 13.7491 13.7491 Å, 130.35 130.35 72.85°
Positions (direct):
Cs 0.0924 0.2814 0.3738
Cs 0.1537 0.1537 0.0000
Cs 0.2814 0.9076 0.1889
Cs 0.7186 0.0924 0.8111
Cs 0.8463 0.8463 0.0000
Cs 0.9076 0.7186 0.6262
Rb 0.0350 0.4133 0.7920
Rb 0.2429 0.0350 0.6217
Rb 0.3787 0.7571 0.7920
Rb 0.4133 0.6213 0.3783
Rb 0.5000 0.5000 0.0000
Rb 0.5867 0.3787 0.6217
Rb 0.6213 0.2429 0.2080
Rb 0.7571 0.9650 0.3783
Rb 0.9650 0.5867 0.2080
P 0.0000 0.0000 0.0000

---

Entry 3:
First-principles (PBE) data for crystalline CsRbP4 at its relaxed geometry, as listed in the Alexandria database.

E_form: -0.269 eV per atom
Calculated total energy: -4.18 eV per atom
Spin magnetization: 0.000 Bohr magnetons per cell
DOS at the Fermi energy: 0.434 states/eV/atom

Cell: 6.7935 7.9365 7.9365 Å, 24.87 90.00 90.00°
Positions (direct):
Cs 0.0000 0.0000 0.0000
Rb 0.5000 0.7717 0.7717
P 0.0000 0.2949 0.2949
P 0.0000 0.7071 0.7071
P 0.5000 0.0676 0.0676
P 0.5000 0.4795 0.4795

---

Q: Which value of E_form does entry 1 give?
A: -0.025 eV per atom

---

Q: E_form of number 3 (CsRbP4)?
A: -0.269 eV per atom

---

Q: Which of these has the lowest E_form?
A: CsRbP4